The following is a GGA-PBE calculation of a relaxed structure of Ce2Nd3SmP6, from Alexandria.

Structure (CIF):
```
data_Ce2Nd3SmP6
_cell_length_a 7.147
_cell_length_b 12.379
_cell_length_c 7.151
_cell_angle_alpha 90.00
_cell_angle_beta 109.46
_cell_angle_gamma 90.00
_space_group_name_H-M_alt 'C 1 2/m 1'
_space_group_IT_number 12
loop_
_space_group_symop_operation_xyz
'x,y,z'
'-x,-y,-z'
'-x,y,-z'
'x,-y,z'
'x+1/2,y+1/2,z'
'-x+1/2,-y+1/2,-z'
'-x+1/2,y+1/2,-z'
'x+1/2,-y+1/2,z'
loop_
_atom_site_label
_atom_site_type_symbol
_atom_site_fract_x
_atom_site_fract_y
_atom_site_fract_z
Ce1 Ce 0.000 0.167 0.000
Nd1 Nd 0.000 0.000 0.500
Nd2 Nd 0.000 0.334 0.500
Sm1 Sm 0.000 0.500 0.000
P1 P 0.244 0.000 0.243
P2 P 0.249 0.332 0.243
```

- ΔH_f (0 K): -1.54 eV/atom
- Fermi-level density of states: 19.918 states/eV/cell

The following is a GGA-PBE calculation of a relaxed structure of SrCe2NdP4, from Alexandria.

Structure (CIF):
```
data_SrCe2NdP4
_cell_length_a 7.227
_cell_length_b 4.171
_cell_length_c 7.250
_cell_angle_alpha 90.00
_cell_angle_beta 109.42
_cell_angle_gamma 90.00
_space_group_name_H-M_alt 'P 1 2/m 1'
_space_group_IT_number 10
loop_
_space_group_symop_operation_xyz
'x,y,z'
'-x,-y,-z'
'-x,y,-z'
'x,-y,z'
loop_
_atom_site_label
_atom_site_type_symbol
_atom_site_fract_x
_atom_site_fract_y
_atom_site_fract_z
Sr1 Sr 0.000 0.000 0.000
Ce1 Ce 0.500 0.000 0.500
Ce2 Ce 0.500 0.500 0.000
Nd1 Nd 0.000 0.500 0.500
P1 P 0.263 0.000 0.747
P2 P 0.272 0.500 0.265
```

- ΔH_f (0 K): -1.40 eV/atom
- Fermi-level density of states: 7.421 states/eV/cell

The following is a GGA-PBE calculation of a relaxed structure of SrCeNd2P4, from Alexandria.

Structure (CIF):
```
data_SrCeNd2P4
_cell_length_a 7.250
_cell_length_b 4.195
_cell_length_c 7.251
_cell_angle_alpha 90.00
_cell_angle_beta 109.04
_cell_angle_gamma 90.00
_space_group_name_H-M_alt 'P 1 2/m 1'
_space_group_IT_number 10
loop_
_space_group_symop_operation_xyz
'x,y,z'
'-x,-y,-z'
'-x,y,-z'
'x,-y,z'
loop_
_atom_site_label
_atom_site_type_symbol
_atom_site_fract_x
_atom_site_fract_y
_atom_site_fract_z
Sr1 Sr 0.000 0.000 0.000
Ce1 Ce 0.000 0.500 0.500
Nd1 Nd 0.500 0.000 0.500
Nd2 Nd 0.500 0.500 0.000
P1 P 0.247 0.000 0.739
P2 P 0.253 0.500 0.267
```

- ΔH_f (0 K): -1.37 eV/atom
- Fermi-level density of states: 1.907 states/eV/cell

The following is a GGA-PBE calculation of a relaxed structure of Tb3Ce2NdP6, from Alexandria.

Structure (CIF):
```
data_Tb3Ce2NdP6
_cell_length_a 7.051
_cell_length_b 12.212
_cell_length_c 7.038
_cell_angle_alpha 90.00
_cell_angle_beta 109.51
_cell_angle_gamma 90.00
_space_group_name_H-M_alt 'C 1 2/m 1'
_space_group_IT_number 12
loop_
_space_group_symop_operation_xyz
'x,y,z'
'-x,-y,-z'
'-x,y,-z'
'x,-y,z'
'x+1/2,y+1/2,z'
'-x+1/2,-y+1/2,-z'
'-x+1/2,y+1/2,-z'
'x+1/2,-y+1/2,z'
loop_
_atom_site_label
_atom_site_type_symbol
_atom_site_fract_x
_atom_site_fract_y
_atom_site_fract_z
Tb1 Tb 0.000 0.000 0.000
Tb2 Tb 0.000 0.334 0.000
Ce1 Ce 0.000 0.167 0.500
Nd1 Nd 0.000 0.500 0.500
P1 P 0.246 0.000 0.754
P2 P 0.246 0.169 0.247
```

- ΔH_f (0 K): -1.57 eV/atom
- Fermi-level density of states: 20.305 states/eV/cell

The following is a GGA-PBE calculation of a relaxed structure of Tb2Ce3NdP6, from Alexandria.

Structure (CIF):
```
data_Tb2Ce3NdP6
_cell_length_a 7.069
_cell_length_b 12.246
_cell_length_c 7.061
_cell_angle_alpha 90.00
_cell_angle_beta 109.51
_cell_angle_gamma 90.00
_space_group_name_H-M_alt 'C 1 2/m 1'
_space_group_IT_number 12
loop_
_space_group_symop_operation_xyz
'x,y,z'
'-x,-y,-z'
'-x,y,-z'
'x,-y,z'
'x+1/2,y+1/2,z'
'-x+1/2,-y+1/2,-z'
'-x+1/2,y+1/2,-z'
'x+1/2,-y+1/2,z'
loop_
_atom_site_label
_atom_site_type_symbol
_atom_site_fract_x
_atom_site_fract_y
_atom_site_fract_z
Tb1 Tb 0.000 0.167 0.000
Ce1 Ce 0.000 0.000 0.500
Ce2 Ce 0.000 0.334 0.500
Nd1 Nd 0.000 0.500 0.000
P1 P 0.245 0.000 0.251
P2 P 0.247 0.169 0.748
```

- ΔH_f (0 K): -1.55 eV/atom
- Fermi-level density of states: 27.846 states/eV/cell

The following is a GGA-PBE calculation of a relaxed structure of TbCe3Nd2P6, from Alexandria.

Structure (CIF):
```
data_TbCe3Nd2P6
_cell_length_a 7.108
_cell_length_b 12.313
_cell_length_c 7.104
_cell_angle_alpha 90.00
_cell_angle_beta 109.49
_cell_angle_gamma 90.00
_space_group_name_H-M_alt 'C 1 2/m 1'
_space_group_IT_number 12
loop_
_space_group_symop_operation_xyz
'x,y,z'
'-x,-y,-z'
'-x,y,-z'
'x,-y,z'
'x+1/2,y+1/2,z'
'-x+1/2,-y+1/2,-z'
'-x+1/2,y+1/2,-z'
'x+1/2,-y+1/2,z'
loop_
_atom_site_label
_atom_site_type_symbol
_atom_site_fract_x
_atom_site_fract_y
_atom_site_fract_z
Tb1 Tb 0.000 0.000 0.000
Ce1 Ce 0.000 0.167 0.500
Ce2 Ce 0.000 0.500 0.500
Nd1 Nd 0.000 0.334 0.000
P1 P 0.243 0.000 0.745
P2 P 0.249 0.164 0.254
```

- ΔH_f (0 K): -1.54 eV/atom
- Fermi-level density of states: 26.779 states/eV/cell

The following is a GGA-PBE calculation of a relaxed structure of TbCe2Nd3P6, from Alexandria.

Structure (CIF):
```
data_TbCe2Nd3P6
_cell_length_a 7.122
_cell_length_b 12.335
_cell_length_c 7.130
_cell_angle_alpha 90.00
_cell_angle_beta 109.45
_cell_angle_gamma 90.00
_space_group_name_H-M_alt 'C 1 2/m 1'
_space_group_IT_number 12
loop_
_space_group_symop_operation_xyz
'x,y,z'
'-x,-y,-z'
'-x,y,-z'
'x,-y,z'
'x+1/2,y+1/2,z'
'-x+1/2,-y+1/2,-z'
'-x+1/2,y+1/2,-z'
'x+1/2,-y+1/2,z'
loop_
_atom_site_label
_atom_site_type_symbol
_atom_site_fract_x
_atom_site_fract_y
_atom_site_fract_z
Tb1 Tb 0.000 0.000 0.000
Ce1 Ce 0.000 0.333 0.000
Nd1 Nd 0.000 0.167 0.500
Nd2 Nd 0.000 0.500 0.500
P1 P 0.247 0.167 0.241
P2 P 0.247 0.500 0.242
```

- ΔH_f (0 K): -1.55 eV/atom
- Fermi-level density of states: 20.045 states/eV/cell

The following is a GGA-PBE calculation of a relaxed structure of TbCe2NdP4, from Alexandria.

Structure (CIF):
```
data_TbCe2NdP4
_cell_length_a 7.082
_cell_length_b 4.093
_cell_length_c 7.090
_cell_angle_alpha 90.00
_cell_angle_beta 109.49
_cell_angle_gamma 90.00
_space_group_name_H-M_alt 'P 1 2/m 1'
_space_group_IT_number 10
loop_
_space_group_symop_operation_xyz
'x,y,z'
'-x,-y,-z'
'-x,y,-z'
'x,-y,z'
loop_
_atom_site_label
_atom_site_type_symbol
_atom_site_fract_x
_atom_site_fract_y
_atom_site_fract_z
Tb1 Tb 0.000 0.000 0.000
Ce1 Ce 0.500 0.000 0.500
Ce2 Ce 0.500 0.500 0.000
Nd1 Nd 0.000 0.500 0.500
P1 P 0.252 0.500 0.246
P2 P 0.255 0.000 0.756
```

- ΔH_f (0 K): -1.54 eV/atom
- Fermi-level density of states: 9.388 states/eV/cell